Density functional theory data (PBE with a Hubbard U) for a relaxed Mn2Cr3RhO8 crystal.

Calculated values
Electronic total energy: -0.2784 hartree per atom
Magnetic moment: 20.98 μB per formula unit
Symmetry: No. 160

Cell lengths 6.119, 6.119, 6.161 Å; angles 60.22, 60.22, 60.00 degrees
Element x y z (fractional)
O 0.293 0.739 0.229
O 0.710 0.258 0.774
O 0.739 0.293 0.229
O 0.263 0.263 0.210
O 0.258 0.258 0.774
O 0.734 0.734 0.797
O 0.258 0.710 0.774
O 0.739 0.739 0.229
Rh 0.875 0.875 0.375
Mn 0.124 0.124 0.628
Mn 0.499 0.499 0.504
Cr 0.499 0.499 0.000
Cr 0.499 0.003 0.000
Cr 0.003 0.499 0.000